Here is a relaxed Tb3Si3Ir crystal from the Alexandria database. Energies are from GGA-PBE.

## Properties
- calculated total energy (eV for the cell shown) = -90.83
- formation energy from raw total energies (meV/atom) = -913

Unit cell a=5.6789 b=5.6789 c=13.7255 alpha=108.82 beta=108.82 gamma=43.96
Last column: nearest neighbours and their distance in Å.
Fractional coordinates of all 14 atoms:
Tb 0.0262 0.0262 0.3767  6 Si 2.96-3.20, 4 Ir 3.01-3.20
Tb 0.1038 0.1038 0.9222  7 Si 2.96-3.10
Tb 0.2457 0.2457 0.2304  6 Si 2.98-3.12, 2 Ir 3.09
Tb 0.7543 0.7543 0.7696  6 Si 2.98-3.12, 2 Ir 3.09
Tb 0.8962 0.8962 0.0778  7 Si 2.96-3.10
Tb 0.9738 0.9738 0.6233  6 Si 2.96-3.20, 4 Ir 3.01-3.20
Si 0.3620 0.3620 0.4617  3 Ir 2.45-2.62, 1 Si 2.73
Si 0.3909 0.3909 0.9264  2 Si 2.48-2.50
Si 0.4575 0.4575 0.7682  1 Si 2.50, 1 Ir 2.53
Si 0.5425 0.5425 0.2318  1 Si 2.50, 1 Ir 2.53
Si 0.6091 0.6091 0.0736  2 Si 2.48-2.50
Si 0.6380 0.6380 0.5383  3 Ir 2.45-2.62, 1 Si 2.73
Ir 0.2502 0.2502 0.6048  4 Si 2.45-2.62
Ir 0.7498 0.7498 0.3952  4 Si 2.45-2.62